(1)
A plane-wave DFT calculation with GGA-PBE was carried out for a geometry-optimized LaZr2Os structure.

## Properties
SG = Pmmm (47)
M_tot = 0.0000 μB per atom
ΔH_f (0 K) = 0.158 eV/atom

Lattice parameters (Å, degrees): 3.408 5.188 4.918 90.00 90.00 90.00
Fractional positions:
La  0.500  0.000  0.500
Zr  0.500  0.500  0.000
Zr  0.000  0.000  0.000
Os  0.000  0.500  0.500

***

(2)
A plane-wave DFT calculation with GGA-PBE was carried out for a geometry-optimized LaZr2Os2 structure.

## Properties
SG = I4/mmm (139)
M_tot = 0.0000 μB per atom
ΔH_f (0 K) = -0.287 eV/atom

Lattice parameters (Å, degrees): 4.475 4.475 6.550 70.03 70.03 90.00
Fractional positions:
Zr  0.250  0.750  0.500
Zr  0.750  0.250  0.500
La  0.000  0.000  0.000
Os  0.389  0.389  0.222
Os  0.611  0.611  0.778

***

What did the first record say?
A plane-wave DFT calculation with GGA-PBE was carried out for a geometry-optimized LaZr2Os structure.

## Properties
SG = Pmmm (47)
M_tot = 0.0000 μB per atom
ΔH_f (0 K) = 0.158 eV/atom

Lattice parameters (Å, degrees): 3.408 5.188 4.918 90.00 90.00 90.00
Fractional positions:
La  0.500  0.000  0.500
Zr  0.500  0.500  0.000
Zr  0.000  0.000  0.000
Os  0.000  0.500  0.500

***

What is the M_tot in the second record? 0.0000 μB per atom